Here is crystalline Co2Cu2Pd7 at its relaxed geometry from the Alexandria database. Energies are from PBE-GGA.

Computed properties:
* ΔH_f (0 K): 0.36 eV per atom
* M_tot: 0.59 μB/atom
* electronic total energy: -4.98 eV/atom

Unit cell a=6.800 b=8.618 c=6.109 alpha=90.00 beta=90.00 gamma=90.00
Space group Cmmm (No. 65)
One atom of each set of equivalent atoms:
Co  0.000  0.206  0.000 (multiplicity 4)
Cu  0.172  0.500  0.500 (multiplicity 4)
Pd  0.000  0.000  0.277 (multiplicity 4)
Pd  0.000  0.500  0.000 (multiplicity 2)
Pd  0.250  0.250  0.279 (multiplicity 8)



Here is crystalline Co2CuPd9 at its relaxed geometry from the Alexandria database. Energies are from PBE-GGA.

Computed properties:
* ΔH_f (0 K): 0.02 eV per atom
* M_tot: 0.48 μB/atom
* electronic total energy: -5.40 eV/atom

Unit cell a=3.878 b=3.878 c=11.637 alpha=90.00 beta=90.00 gamma=90.00
Space group P4/mmm (No. 123)
One atom of each set of equivalent atoms:
Co  0.000  0.000  0.169 (multiplicity 2)
Cu  0.000  0.000  0.500 (multiplicity 1)
Pd  0.000  0.500  0.000 (multiplicity 2)
Pd  0.000  0.500  0.331 (multiplicity 4)
Pd  0.500  0.500  0.165 (multiplicity 2)
Pd  0.500  0.500  0.500 (multiplicity 1)



Here is crystalline CoCuPd6 at its relaxed geometry from the Alexandria database. Energies are from PBE-GGA.

Computed properties:
* ΔH_f (0 K): 0.00 eV per atom
* M_tot: 0.36 μB/atom
* electronic total energy: -5.30 eV/atom

Unit cell a=3.883 b=3.883 c=7.746 alpha=90.00 beta=90.00 gamma=90.00
Space group P4/mmm (No. 123)
One atom of each set of equivalent atoms:
Co  0.000  0.000  0.000 (multiplicity 1)
Cu  0.000  0.000  0.500 (multiplicity 1)
Pd  0.000  0.500  0.247 (multiplicity 4)
Pd  0.500  0.500  0.000 (multiplicity 1)
Pd  0.500  0.500  0.500 (multiplicity 1)



Here is crystalline CoCu2Pd2 at its relaxed geometry from the Alexandria database. Energies are from PBE-GGA.

Computed properties:
* ΔE to the lowest computed polymorph: 0.0 meV/atom
* ΔH_f (0 K): 0.03 eV per atom
* M_tot: 0.46 μB/atom
* electronic total energy: -5.11 eV/atom

Unit cell a=8.336 b=3.767 c=5.891 alpha=90.00 beta=133.89 gamma=90.00
Space group C2/m (No. 12)
One atom of each set of equivalent atoms:
Co  0.000  0.000  0.000 (multiplicity 2)
Cu  0.198  0.000  0.593 (multiplicity 4)
Pd  0.094  0.500  0.803 (multiplicity 4)



Here is crystalline CoCu5Pd4 at its relaxed geometry from the Alexandria database. Energies are from PBE-GGA.

Computed properties:
* ΔH_f (0 K): 0.04 eV per atom
* M_tot: 0.23 μB/atom
* electronic total energy: -4.80 eV/atom

Unit cell a=12.892 b=2.648 c=8.479 alpha=90.00 beta=108.92 gamma=90.00
Space group C2/m (No. 12)
One atom of each set of equivalent atoms:
Co  0.000  0.000  0.000 (multiplicity 2)
Cu  0.000  0.000  0.500 (multiplicity 2)
Cu  0.184  0.500  0.581 (multiplicity 4)
Cu  0.217  0.500  0.118 (multiplicity 4)
Pd  0.091  0.500  0.806 (multiplicity 4)
Pd  0.112  0.000  0.298 (multiplicity 4)



Here is crystalline CoCu2Pd at its relaxed geometry from the Alexandria database. Energies are from PBE-GGA.

Computed properties:
* ΔE to the lowest computed polymorph: 18.5 meV/atom
* ΔH_f (0 K): 0.11 eV per atom
* M_tot: 0.52 μB/atom
* electronic total energy: -5.01 eV/atom

Unit cell a=3.718 b=3.718 c=3.686 alpha=90.00 beta=90.00 gamma=90.00
Space group P4/mmm (No. 123)
One atom of each set of equivalent atoms:
Co  0.000  0.000  0.000 (multiplicity 1)
Cu  0.000  0.500  0.500 (multiplicity 2)
Pd  0.500  0.500  0.000 (multiplicity 1)



> Which value of electronic total energy does entry 1 give?

-4.98 eV/atom